## Ni2Ag2IrO6 (PBE with a Hubbard U)

Data for Ni2Ag2IrO6 after structural relaxation.

```
data_Ni2Ag2IrO6
_chemical_formula_sum 'Ni4 Ag4 Ir2 O12'
_space_group_name_H-M_alt 'C 1 2/m 1'
_space_group_IT_number 12
_cell_length_a 5.382
_cell_length_b 8.942
_cell_length_c 6.003
_cell_angle_alpha 90.00
_cell_angle_beta 107.64
_cell_angle_gamma 90.00
loop_
_space_group_symop_operation_xyz
'x,y,z'
'-x,-y,-z'
'-x,y,-z'
'x,-y,z'
'x+1/2,y+1/2,z'
'-x+1/2,-y+1/2,-z'
'-x+1/2,y+1/2,-z'
'x+1/2,-y+1/2,z'
loop_
_atom_site_label
_atom_site_type_symbol
_atom_site_fract_x
_atom_site_fract_y
_atom_site_fract_z
Ni1 Ni 0.000 0.164 0.000
Ag1 Ag 0.000 0.186 0.500
Ir1 Ir 0.000 0.500 0.000
O1 O 0.108 0.339 0.825
O2 O 0.124 0.000 0.804
```

## Properties
* electronic total energy: -5.080 eV per atom